Density functional theory data (PBE-GGA) for a relaxed structure of Cu2TeF.

Output
The energy relative to the lowest polymorph listed for this composition comes out at 234.0 meV per atom. As for the uncorrected formation energy: -0.279 eV/atom. The value obtained for the total energy is -57.28 eV for the cell shown. Its total magnetization is 0.000 μB per formula unit.

Structure (CIF):
```
data_Cu2TeF
_space_group_name_H-M_alt 'F m -3 m'
_space_group_IT_number 225
_space_group_name_Hall '-F 4 2 3'
_cell_length_a 6.257
_cell_length_b 6.257
_cell_length_c 6.257
_cell_angle_alpha 90.00
_cell_angle_beta 90.00
_cell_angle_gamma 90.00
loop_
_atom_site_label
_atom_site_type_symbol
_atom_site_fract_x
_atom_site_fract_y
_atom_site_fract_z
Cu1 Cu 0.250 0.250 0.250
Te1 Te 0.000 0.000 0.000
F1 F 0.000 0.000 0.500
```


Density functional theory data (PBE-GGA) for a relaxed structure of CuTeF.

Output
The energy relative to the lowest polymorph listed for this composition comes out at 287.6 meV per atom. As for the uncorrected formation energy: -0.456 eV/atom. The value obtained for the total energy is -10.48 eV for the cell shown. Its total magnetization is 0.000 μB per formula unit.

Structure (CIF):
```
data_CuTeF
_space_group_name_H-M_alt 'P 3 m 1'
_space_group_IT_number 156
_cell_length_a 4.2499
_cell_length_b 4.2499
_cell_length_c 3.0820
_cell_angle_alpha 90.00
_cell_angle_beta 90.00
_cell_angle_gamma 120.00
loop_
_space_group_symop_operation_xyz
'x,y,z'
'-y,x-y,z'
'-x+y,-x,z'
'-y,-x,z'
'-x+y,y,z'
'x,x-y,z'
loop_
_atom_site_label
_atom_site_type_symbol
_atom_site_fract_x
_atom_site_fract_y
_atom_site_fract_z
Cu1 Cu 0.0000 0.0000 0.0000
Te1 Te 0.6667 0.3333 0.3691
F1 F 0.3333 0.6667 0.8307
```